## ScCr3Cd3O8 (GGA+U)

Data for a relaxed ScCr3Cd3O8 crystal.

abc: 6.1753 6.1753 17.3891
angles: 90.00 90.00 120.00
Space group R-3m (No. 166, hexagonal axes)
Asymmetric unit:
Sc 0.0000 0.0000 0.0000 (multiplicity 3)
Cr 0.0000 0.5000 0.0000 (multiplicity 9)
Cd 0.0000 0.5000 0.5000 (multiplicity 9)
O 0.0000 0.0000 0.2725 (multiplicity 6)
O 0.0063 0.5031 0.2714 (multiplicity 18)

Calculated values
Calculated volume = 574.2 Å³ per cell
Raw total energy = -288.06 eV/cell